1.
PBE CeSc2AlAu4, optimized geometry; formation energy = -0.67 eV per atom; M_tot = 1.091 μB per cell
1.0
-1.5010 4.4366 0.3969
-2.3983 1.9932 -3.5171
-8.8010 -0.7076 2.4593
Ce Sc Al Au
1 2 1 4
Direct
0.0000 0.0000 0.0000
0.7622 0.7622 0.7135
0.2378 0.2378 0.2865
0.5000 0.5000 0.5000
0.3968 0.3968 0.8096
0.8747 0.8747 0.3758
0.1253 0.1253 0.6242
0.6032 0.6032 0.1904

***

2.
PBE CeScAl2Au2, optimized geometry; formation energy = -0.69 eV per atom; M_tot = 0.775 μB per cell
1.0
4.4940 0.0000 0.0000
-2.2470 3.8919 0.0000
0.0000 0.0000 7.1854
Ce Sc Al Au
1 1 2 2
Direct
0.0000 0.0000 0.0000
0.0000 0.0000 0.5000
0.6667 0.3333 0.2934
0.3333 0.6667 0.7066
0.6667 0.3333 0.7126
0.3333 0.6667 0.2874